SrY3Ir: relaxed, GGA-PBE.

a = 27.392 Å, b = 6.984 Å, c = 10.770 Å
α = 90.00°, β = 161.79°, γ = 90.00°
Positions (direct):
Ir: 0.059 0.774 0.265
Ir: 0.941 0.226 0.735
Ir: 0.441 0.274 0.235
Ir: 0.559 0.726 0.765
Y: 0.812 0.022 0.629
Y: 0.386 0.898 0.531
Y: 0.372 0.879 0.106
Y: 0.188 0.978 0.371
Y: 0.886 0.602 0.031
Y: 0.628 0.121 0.894
Y: 0.614 0.102 0.469
Y: 0.312 0.478 0.129
Y: 0.688 0.522 0.871
Y: 0.872 0.621 0.606
Y: 0.128 0.379 0.394
Y: 0.114 0.398 0.969
Sr: 0.444 0.588 0.008
Sr: 0.556 0.412 0.992
Sr: 0.944 0.912 0.508
Sr: 0.056 0.088 0.492

Properties
Energy above the most stable polymorph in this dataset   142 meV per atom
E_tot   -6.216 eV/atom
Spin magnetization   0.000 μB/atom

BeSnRh2: relaxed, GGA-PBE.

a = 2.965 Å, b = 2.965 Å, c = 6.389 Å
α = 90.00°, β = 90.00°, γ = 90.00°
Positions (direct):
Sn: 0.500 0.500 0.500
Rh: 0.000 0.000 0.217
Rh: 0.000 0.000 0.783
Be: 0.500 0.500 0.000

Properties
E_tot   -6.023 eV/atom
Spin magnetization   0.000 μB/atom